# 1
InTc2BF: optimized geometry, PBE-GGA.

Values from the calculation:
Its final energy is -5.315 eV/atom. The value obtained for the uncorrected formation energy is 1089 meV/atom.

Cell: 4.168 4.168 4.387 Å, 90.00 90.00 90.00°
Positions (direct):
1 In 0.000 0.000 0.000
2 Tc 0.000 0.500 0.500
3 Tc 0.500 0.000 0.500
4 B 0.500 0.500 0.000
5 F 0.500 0.500 0.500

# 2
B2IrF: optimized geometry, PBE-GGA.

Values from the calculation:
Its final energy is -5.095 eV/atom. The value obtained for the uncorrected formation energy is 926 meV/atom. Its relative energy among the computed polymorphs is 760 meV/atom.

Cell: 3.825 3.825 3.825 Å, 60.00 60.00 60.00°
Positions (direct):
1 B 0.250 0.250 0.250
2 B 0.750 0.750 0.750
3 Ir 0.000 0.000 0.000
4 F 0.500 0.500 0.500

# 3
BIrF3: optimized geometry, PBE-GGA.

Values from the calculation:
Its final energy is -4.010 eV/atom. The value obtained for the uncorrected formation energy is 220 meV/atom. Its relative energy among the computed polymorphs is 0 meV/atom.

Cell: 4.185 4.185 4.185 Å, 90.00 90.00 90.00°
Positions (direct):
1 B 0.000 0.000 0.000
2 Ir 0.500 0.500 0.500
3 F 0.000 0.500 0.500
4 F 0.500 0.000 0.500
5 F 0.500 0.500 0.000

# 4
B2IrF: optimized geometry, PBE-GGA.

Values from the calculation:
Its final energy is -5.855 eV/atom. The value obtained for the uncorrected formation energy is 167 meV/atom. Its relative energy among the computed polymorphs is 0 meV/atom.

Cell: 5.547 5.547 5.547 Å, 128.89 128.89 75.19°
Positions (direct):
1 B 0.114 0.625 0.989
2 B 0.375 0.364 0.489
3 B 0.636 0.125 0.011
4 B 0.875 0.886 0.511
5 Ir 0.000 0.000 0.000
6 Ir 0.750 0.250 0.500
7 F 0.250 0.750 0.500
8 F 0.500 0.500 0.000